(1)
# W2ClO

W2ClO after structural relaxation (PBE with a Hubbard U, the Alexandria database).

a b c (Å): 7.7356 7.7356 7.7356
angles (deg): 148.78 148.78 44.74
With the nearest neighbours (Å) after each atom.
Atoms (fractional coordinates):
W 0.0646 0.6250 0.9396  2 O 2.21, 2 Cl 2.44
W 0.3750 0.3146 0.4396  2 O 2.21, 2 Cl 2.44
W 0.6854 0.1250 0.0604  2 O 2.21, 2 Cl 2.44
W 0.8750 0.9354 0.5604  2 O 2.21, 2 Cl 2.44
Cl 0.2500 0.7500 0.5000  4 W 2.44
Cl 0.5000 0.5000 0.0000  4 W 2.44
O 0.0000 0.0000 0.0000  4 W 2.21
O 0.7500 0.2500 0.5000  4 W 2.21

Computed properties:
D(E_F) (states/eV per cell): 2.4
Relative energy among the computed polymorphs (meV per atom): 0
Raw total energy (eV/cell): -37.508



(2)
# Na3NiO3

Na3NiO3 after structural relaxation (PBE with a Hubbard U, the Alexandria database).

a b c (Å): 6.0102 6.0102 5.8365
angles (deg): 94.60 94.60 114.32
With the nearest neighbours (Å) after each atom.
Atoms (fractional coordinates):
Na 0.1860 0.8140 0.0000  4 O 2.37-2.63
Na 0.2521 0.7479 0.5000  2 O 2.34
Na 0.3761 0.3761 0.1422  1 O 2.19
Na 0.6239 0.6239 0.8578  1 O 2.19
Na 0.7479 0.2521 0.5000  2 O 2.34
Na 0.8140 0.1860 0.0000  4 O 2.37-2.63
Ni 0.1894 0.1894 0.6403  4 O 1.81-1.94
Ni 0.8106 0.8106 0.3597  4 O 1.81-1.94
O 0.0983 0.0983 0.3118  2 Ni 1.92-1.94
O 0.1697 0.4645 0.7691  1 Ni 1.81
O 0.4645 0.1697 0.7691  1 Ni 1.81
O 0.5355 0.8303 0.2309  1 Ni 1.81
O 0.8303 0.5355 0.2309  1 Ni 1.81
O 0.9017 0.9017 0.6882  2 Ni 1.92-1.94

Computed properties:
D(E_F) (states/eV per cell): 0.0
Relative energy among the computed polymorphs (meV per atom): 19
Raw total energy (eV/cell): -59.005